No. 1
DFT (PBE) results for MgUPa2N5 after structural relaxation.

Cell and atoms, written as extended XYZ:
```
18
Lattice="1.729 -6.767 0.000 1.729 6.767 0.000 0.000 0.000 10.968" Properties=species:S:1:pos:R:3 pbc="T T T"
Mg 1.729 6.622 5.484
Mg 1.729 -6.622 0.000
U 1.729 3.061 0.138
U 1.729 -3.061 5.622
Pa 1.729 1.791 2.979
Pa 1.729 1.656 8.020
Pa 1.729 -1.656 2.536
Pa 1.729 -1.791 8.463
N 1.729 6.485 8.850
N 1.729 5.054 0.982
N 1.729 3.982 3.978
N 1.729 3.747 7.263
N 1.729 1.007 0.776
N 1.729 -1.007 6.260
N 1.729 -3.747 1.779
N 1.729 -3.982 9.462
N 1.729 -5.054 6.467
N 1.729 -6.485 3.366
```

Calculated values
spin magnetization	3.76	μB/cell
space group	Cmc2_1
formation energy (no corrections)	-1.284	eV/atom

***

No. 2
DFT (PBE) results for Mg3Pa3WN8 after structural relaxation.

Cell and atoms, written as extended XYZ:
```
15
Lattice="3.360 1.940 5.220 -3.360 1.940 5.220 0.000 -3.880 5.220" Properties=species:S:1:pos:R:3 pbc="T T T"
Mg -1.680 -0.970 5.220
Mg -1.680 0.970 10.441
Mg 0.000 1.940 5.220
Pa -3.360 0.000 7.831
Pa -1.680 0.970 2.610
Pa 1.680 0.970 2.610
W 0.000 0.000 7.831
N 0.000 0.000 3.983
N -1.544 -0.891 8.980
N 0.000 -1.783 6.681
N -1.544 0.891 6.681
N 1.544 -0.891 8.980
N 0.000 1.783 8.980
N 1.544 0.891 6.681
N 0.000 0.000 11.678
```

Calculated values
spin magnetization	0.00	μB/cell
space group	R-3m
formation energy (no corrections)	-1.033	eV/atom

***

No. 3
DFT (PBE) results for Y3MgPa3N8 after structural relaxation.

Cell and atoms, written as extended XYZ:
```
15
Lattice="3.434 1.982 5.611 -3.434 1.982 5.611 0.000 -3.965 5.611" Properties=species:S:1:pos:R:3 pbc="T T T"
Y -1.717 -0.991 5.611
Y -1.717 0.991 11.222
Y 0.000 1.982 5.611
Mg 0.000 0.000 8.416
Pa -3.434 0.000 8.416
Pa -1.717 0.991 2.805
Pa 1.717 0.991 2.805
N -1.700 -0.982 9.627
N 0.000 0.000 4.200
N 0.000 -1.963 7.205
N -1.700 0.982 7.205
N 1.700 -0.982 9.627
N 0.000 1.963 9.627
N 0.000 0.000 12.633
N 1.700 0.982 7.205
```

Calculated values
spin magnetization	0.00	μB/cell
space group	R-3m
formation energy (no corrections)	-1.386	eV/atom